Record 1
# NbSbSe2 (PBE, relaxed)
data_NbSbSe2
_symmetry_space_group_name_H-M 'P 1'
_symmetry_Int_Tables_number 1
_cell_length_a 4.454
_cell_length_b 7.987
_cell_length_c 5.356
_cell_angle_alpha 90.00
_cell_angle_beta 114.49
_cell_angle_gamma 90.00
loop_
_symmetry_equiv_pos_as_xyz
'x,y,z'
loop_
_atom_site_label
_atom_site_fract_x
_atom_site_fract_y
_atom_site_fract_z
Nb1 0.223 0.250 0.446
Nb2 0.777 0.750 0.554
Sb1 0.084 0.750 0.166
Sb2 0.916 0.250 0.834
Se1 0.350 0.557 0.702
Se2 0.350 0.943 0.702
Se3 0.650 0.057 0.298
Se4 0.650 0.443 0.298
# **Raw total energy**: -5.54 eV per atom

---

Record 2
# PaTcAs (PBE, relaxed)
data_PaTcAs
_symmetry_space_group_name_H-M 'P 1'
_symmetry_Int_Tables_number 1
_cell_length_a 5.864
_cell_length_b 5.864
_cell_length_c 5.864
_cell_angle_alpha 148.18
_cell_angle_beta 148.18
_cell_angle_gamma 45.63
loop_
_symmetry_equiv_pos_as_xyz
'x,y,z'
loop_
_atom_site_label
_atom_site_fract_x
_atom_site_fract_y
_atom_site_fract_z
Pa1 0.000 0.000 0.000
Tc1 0.684 0.684 0.000
As1 0.300 0.300 0.000
# **E above lowest polymorph**: 0.1903 eV/atom

---

Please write out number 1 again, unchanged.
# NbSbSe2 (PBE, relaxed)
data_NbSbSe2
_symmetry_space_group_name_H-M 'P 1'
_symmetry_Int_Tables_number 1
_cell_length_a 4.454
_cell_length_b 7.987
_cell_length_c 5.356
_cell_angle_alpha 90.00
_cell_angle_beta 114.49
_cell_angle_gamma 90.00
loop_
_symmetry_equiv_pos_as_xyz
'x,y,z'
loop_
_atom_site_label
_atom_site_fract_x
_atom_site_fract_y
_atom_site_fract_z
Nb1 0.223 0.250 0.446
Nb2 0.777 0.750 0.554
Sb1 0.084 0.750 0.166
Sb2 0.916 0.250 0.834
Se1 0.350 0.557 0.702
Se2 0.350 0.943 0.702
Se3 0.650 0.057 0.298
Se4 0.650 0.443 0.298
# **Raw total energy**: -5.54 eV per atom